# NaRe2TeC PBE optimized geometry
data_NaRe2TeC
_cell_length_a 4.819
_cell_length_b 4.819
_cell_length_c 4.948
_cell_angle_alpha 90.00
_cell_angle_beta 90.00
_cell_angle_gamma 90.00
_space_group_name_H-M_alt 'P 1'
_space_group_IT_number 1
_space_group_name_Hall 'P 1'
loop_
_atom_site_label
_atom_site_type_symbol
_atom_site_fract_x
_atom_site_fract_y
_atom_site_fract_z
Na1 Na 0.000 0.000 0.000
Re1 Re 0.000 0.500 0.000
Re2 Re 0.500 0.000 0.000
Te1 Te 0.000 0.000 0.500
C1 C 0.500 0.500 0.500
# VASP energy = -19.00 eV/cell
# Crystal system = tetragonal
# Raw formation energy = 3.916 eV/atom
# Total magnetization = 4.82 μB per cell

***

# NaV2ReC PBE optimized geometry
data_NaV2ReC
_cell_length_a 4.247
_cell_length_b 4.247
_cell_length_c 4.563
_cell_angle_alpha 90.00
_cell_angle_beta 90.00
_cell_angle_gamma 90.00
_space_group_name_H-M_alt 'P 1'
_space_group_IT_number 1
_space_group_name_Hall 'P 1'
loop_
_atom_site_label
_atom_site_type_symbol
_atom_site_fract_x
_atom_site_fract_y
_atom_site_fract_z
Na1 Na 0.000 0.000 0.000
V1 V 0.000 0.500 0.000
V2 V 0.500 0.000 0.000
Re1 Re 0.000 0.000 0.500
C1 C 0.500 0.500 0.500
# VASP energy = -22.88 eV/cell
# Crystal system = tetragonal
# ΔH_f (0 K) = 3.670 eV per atom
# Total magnetization = 0.00 μB per cell

***

# NaRh2C PBE optimized geometry
data_NaRh2C
_cell_length_a 5.388
_cell_length_b 5.388
_cell_length_c 5.388
_cell_angle_alpha 104.33
_cell_angle_beta 104.33
_cell_angle_gamma 120.32
_space_group_name_H-M_alt 'P 1'
_space_group_IT_number 1
_space_group_name_Hall 'P 1'
loop_
_atom_site_label
_atom_site_type_symbol
_atom_site_fract_x
_atom_site_fract_y
_atom_site_fract_z
Na1 Na 0.000 0.000 0.000
Na2 Na 0.750 0.250 0.500
Rh1 Rh 0.246 0.125 0.621
Rh2 Rh 0.375 0.754 0.879
Rh3 Rh 0.504 0.625 0.379
Rh4 Rh 0.875 0.496 0.121
C1 C 0.250 0.750 0.500
C2 C 0.500 0.500 0.000
# VASP energy = -48.53 eV/cell
# Relative energy among the computed polymorphs = 0 meV/atom
# Crystal system = tetragonal
# ΔH_f (0 K) = 0.246 eV per atom
# Total magnetization = 0.00 μB per cell

***

# NaRh2C PBE optimized geometry
data_NaRh2C
_cell_length_a 4.097
_cell_length_b 4.097
_cell_length_c 4.097
_cell_angle_alpha 60.00
_cell_angle_beta 60.00
_cell_angle_gamma 60.00
_space_group_name_H-M_alt 'P 1'
_space_group_IT_number 1
_space_group_name_Hall 'P 1'
loop_
_atom_site_label
_atom_site_type_symbol
_atom_site_fract_x
_atom_site_fract_y
_atom_site_fract_z
Na1 Na 0.000 0.000 0.000
Rh1 Rh 0.250 0.250 0.250
Rh2 Rh 0.750 0.750 0.750
C1 C 0.500 0.500 0.500
# VASP energy = -20.45 eV/cell
# Relative energy among the computed polymorphs = 954 meV/atom
# Crystal system = cubic
# ΔH_f (0 K) = 1.200 eV per atom
# Total magnetization = 0.00 μB per cell

***

# NaRh3C PBE optimized geometry
data_NaRh3C
_cell_length_a 4.104
_cell_length_b 4.104
_cell_length_c 4.104
_cell_angle_alpha 90.00
_cell_angle_beta 90.00
_cell_angle_gamma 90.00
_space_group_name_H-M_alt 'P 1'
_space_group_IT_number 1
_space_group_name_Hall 'P 1'
loop_
_atom_site_label
_atom_site_type_symbol
_atom_site_fract_x
_atom_site_fract_y
_atom_site_fract_z
Na1 Na 0.000 0.000 0.000
Rh1 Rh 0.000 0.500 0.500
Rh2 Rh 0.500 0.000 0.500
Rh3 Rh 0.500 0.500 0.000
C1 C 0.500 0.500 0.500
# VASP energy = -31.92 eV/cell
# Relative energy among the computed polymorphs = 0 meV/atom
# Crystal system = cubic
# ΔH_f (0 K) = 0.136 eV per atom
# Total magnetization = 0.00 μB per cell

***

# NaRhC PBE optimized geometry
data_NaRhC
_cell_length_a 4.236
_cell_length_b 4.236
_cell_length_c 5.971
_cell_angle_alpha 116.88
_cell_angle_beta 116.88
_cell_angle_gamma 73.53
_space_group_name_H-M_alt 'P 1'
_space_group_IT_number 1
_space_group_name_Hall 'P 1'
loop_
_atom_site_label
_atom_site_type_symbol
_atom_site_fract_x
_atom_site_fract_y
_atom_site_fract_z
Na1 Na 0.000 0.500 0.000
Na2 Na 0.500 0.000 0.000
Rh1 Rh 0.192 0.192 0.500
Rh2 Rh 0.808 0.808 0.500
C1 C 0.362 0.638 0.500
C2 C 0.638 0.362 0.500
# VASP energy = -33.41 eV/cell
# Crystal system = monoclinic
# ΔH_f (0 K) = 0.396 eV per atom
# Total magnetization = 0.00 μB per cell

***

# Na2RhC PBE optimized geometry
data_Na2RhC
_cell_length_a 4.437
_cell_length_b 4.437
_cell_length_c 4.437
_cell_angle_alpha 60.00
_cell_angle_beta 60.00
_cell_angle_gamma 60.00
_space_group_name_H-M_alt 'P 1'
_space_group_IT_number 1
_space_group_name_Hall 'P 1'
loop_
_atom_site_label
_atom_site_type_symbol
_atom_site_fract_x
_atom_site_fract_y
_atom_site_fract_z
Na1 Na 0.250 0.250 0.250
Na2 Na 0.750 0.750 0.750
Rh1 Rh 0.000 0.000 0.000
C1 C 0.500 0.500 0.500
# VASP energy = -13.03 eV/cell
# Relative energy among the computed polymorphs = 1112 meV/atom
# Crystal system = cubic
# ΔH_f (0 K) = 1.545 eV per atom
# Total magnetization = 0.00 μB per cell

***

# Na3RhC PBE optimized geometry
data_Na3RhC
_cell_length_a 5.437
_cell_length_b 5.437
_cell_length_c 5.437
_cell_angle_alpha 90.00
_cell_angle_beta 90.00
_cell_angle_gamma 90.00
_space_group_name_H-M_alt 'P 1'
_space_group_IT_number 1
_space_group_name_Hall 'P 1'
loop_
_atom_site_label
_atom_site_type_symbol
_atom_site_fract_x
_atom_site_fract_y
_atom_site_fract_z
Na1 Na 0.000 0.000 0.500
Na2 Na 0.000 0.500 0.000
Na3 Na 0.500 0.000 0.000
Rh1 Rh 0.000 0.000 0.000
C1 C 0.500 0.500 0.500
# VASP energy = -11.89 eV/cell
# Relative energy among the computed polymorphs = 354 meV/atom
# Crystal system = cubic
# ΔH_f (0 K) = 1.728 eV per atom
# Total magnetization = 3.52 μB per cell

***

Number 1: DOS at the Fermi energy 4.83 states/eV/f.u.. Number 2: DOS at the Fermi energy 7.87 states/eV/f.u.. Number 3: DOS at the Fermi energy 0.90 states/eV/f.u.. Number 4: DOS at the Fermi energy 1.69 states/eV/f.u.. Number 5: DOS at the Fermi energy 4.24 states/eV/f.u.. Number 6: DOS at the Fermi energy 1.16 states/eV/f.u.. Number 7: DOS at the Fermi energy 3.75 states/eV/f.u.. Number 8: DOS at the Fermi energy 10.26 states/eV/f.u..